a | Below is a relaxed structure of Sr2La, with properties calculated at the PBE-GGA level.

abc: 7.798 7.798 9.742
angles: 105.74 105.74 29.75
Positions (direct):
1 Sr 0.000 0.000 0.000
2 Sr 0.049 0.049 0.607
3 Sr 0.381 0.381 0.280
4 Sr 0.724 0.724 0.935
5 La 0.321 0.321 0.643
6 La 0.671 0.671 0.355

The space group is No. 8.

---

b | Below is a relaxed structure of Sr2La, with properties calculated at the PBE-GGA level.

abc: 11.238 11.238 3.892
angles: 90.00 90.00 120.00
Positions (direct):
1 Sr 0.000 0.308 0.000
2 Sr 0.000 0.640 0.500
3 Sr 0.308 0.000 0.000
4 Sr 0.360 0.360 0.500
5 Sr 0.640 0.000 0.500
6 Sr 0.692 0.692 0.000
7 La 0.000 0.000 0.500
8 La 0.333 0.667 0.000
9 La 0.667 0.333 0.000

The space group is No. 189.

---

c | Below is a relaxed structure of Sr2La, with properties calculated at the PBE-GGA level.

abc: 7.450 7.450 12.362
angles: 90.00 90.00 120.00
Positions (direct):
1 Sr 0.000 0.000 0.000
2 Sr 0.000 0.000 0.500
3 Sr 0.173 0.345 0.250
4 Sr 0.173 0.827 0.250
5 Sr 0.345 0.173 0.750
6 Sr 0.655 0.827 0.250
7 Sr 0.827 0.173 0.750
8 Sr 0.827 0.655 0.750
9 La 0.333 0.667 0.545
10 La 0.333 0.667 0.955
11 La 0.667 0.333 0.045
12 La 0.667 0.333 0.455

The space group is No. 194.

---

d | Below is a relaxed structure of Sr2La, with properties calculated at the PBE-GGA level.

abc: 6.832 6.832 6.832
angles: 148.23 119.79 69.69
Positions (direct):
1 Sr 0.178 0.178 0.000
2 Sr 0.822 0.822 0.000
3 La 0.500 0.000 0.500

The space group is No. 71.

---

Last place for stability: c

---

a | Below is a relaxed structure of Sr2La, with properties calculated at the PBE-GGA level.

abc: 9.267 9.267 9.267
angles: 155.10 155.10 35.50
Positions (direct):
1 Sr 0.159 0.159 0.000
2 Sr 0.841 0.841 0.000
3 La 0.500 0.500 0.000

The space group is No. 139.

---

b | Below is a relaxed structure of Sr2La, with properties calculated at the PBE-GGA level.

abc: 7.640 7.640 9.857
angles: 106.67 106.67 31.05
Positions (direct):
1 Sr 0.033 0.033 0.267
2 Sr 0.319 0.319 0.363
3 Sr 0.681 0.681 0.637
4 Sr 0.967 0.967 0.733
5 La 0.344 0.344 0.974
6 La 0.656 0.656 0.026

The space group is No. 12.

---

Last place for stability: a

---

a | Below is a relaxed structure of SrLa5, with properties calculated at the PBE-GGA level.

abc: 6.953 6.953 5.944
angles: 90.00 90.00 120.00
Positions (direct):
1 Sr 0.000 0.000 0.000
2 La 0.000 0.500 0.500
3 La 0.333 0.667 0.000
4 La 0.500 0.000 0.500
5 La 0.500 0.500 0.500
6 La 0.667 0.333 0.000

The space group is No. 191.

---

b | Below is a relaxed structure of SrLa5, with properties calculated at the PBE-GGA level.

abc: 7.366 7.366 9.077
angles: 104.21 104.21 29.69
Positions (direct):
1 Sr 0.000 0.000 0.000
2 La 0.052 0.052 0.603
3 La 0.320 0.320 0.660
4 La 0.380 0.380 0.290
5 La 0.672 0.672 0.345
6 La 0.730 0.730 0.948

The space group is No. 8.

---

Last place for stability: a

---

a | Below is a relaxed structure of SrLa5, with properties calculated at the PBE-GGA level.

abc: 6.198 10.202 10.202
angles: 21.39 90.00 90.00
Positions (direct):
1 Sr 0.000 0.000 0.000
2 La 0.000 0.320 0.320
3 La 0.000 0.674 0.674
4 La 0.500 0.113 0.113
5 La 0.500 0.432 0.432
6 La 0.500 0.784 0.784

The space group is No. 38.

---

b | Below is a relaxed structure of SrLa5, with properties calculated at the PBE-GGA level.

abc: 10.103 10.103 3.834
angles: 90.00 90.00 143.07
Positions (direct):
1 Sr 0.000 0.000 0.000
2 La 0.184 0.816 0.500
3 La 0.347 0.653 0.000
4 La 0.500 0.500 0.500
5 La 0.653 0.347 0.000
6 La 0.816 0.184 0.500

The space group is No. 65.

---

Last place for stability: b

---

a | Below is a relaxed structure of SrLa5, with properties calculated at the PBE-GGA level.

abc: 3.773 3.773 16.399
angles: 90.00 90.00 90.00
Positions (direct):
1 Sr 0.000 0.000 0.000
2 La 0.000 0.000 0.339
3 La 0.000 0.000 0.661
4 La 0.500 0.500 0.189
5 La 0.500 0.500 0.500
6 La 0.500 0.500 0.811

The space group is No. 123.

---

b | Below is a relaxed structure of SrLa5, with properties calculated at the PBE-GGA level.

abc: 6.999 6.999 6.999
angles: 60.00 60.00 60.00
Positions (direct):
1 Sr 0.000 0.000 0.000
2 La 0.381 0.381 0.381
3 La 0.381 0.381 0.858
4 La 0.381 0.858 0.381
5 La 0.750 0.750 0.750
6 La 0.858 0.381 0.381

The space group is No. 216.

---

Last place for stability: b

---

a | Below is a relaxed structure of Sr5La4, with properties calculated at the PBE-GGA level.

abc: 11.110 11.110 7.587
angles: 90.00 90.00 120.00
Positions (direct):
1 Sr 0.000 0.371 0.250
2 Sr 0.000 0.629 0.750
3 Sr 0.333 0.667 0.000
4 Sr 0.333 0.667 0.500
5 Sr 0.371 0.000 0.250
6 Sr 0.371 0.371 0.750
7 Sr 0.629 0.000 0.750
8 Sr 0.629 0.629 0.250
9 Sr 0.667 0.333 0.000
10 Sr 0.667 0.333 0.500
11 La 0.000 0.000 0.000
12 La 0.000 0.000 0.500
13 La 0.000 0.266 0.750
14 La 0.000 0.734 0.250
15 La 0.266 0.000 0.750
16 La 0.266 0.266 0.250
17 La 0.734 0.000 0.250
18 La 0.734 0.734 0.750

The space group is No. 193.

---

b | Below is a relaxed structure of Sr5La4, with properties calculated at the PBE-GGA level.

abc: 9.010 9.010 9.010
angles: 95.42 95.42 144.19
Positions (direct):
1 Sr 0.000 0.000 0.000
2 Sr 0.331 0.331 0.661
3 Sr 0.331 0.669 0.000
4 Sr 0.669 0.331 0.000
5 Sr 0.669 0.669 0.339
6 La 0.000 0.355 0.355
7 La 0.000 0.645 0.645
8 La 0.355 0.000 0.355
9 La 0.645 0.000 0.645

The space group is No. 139.

---

Last place for stability: a

---

a | Below is a relaxed structure of Sr3La2, with properties calculated at the PBE-GGA level.

abc: 10.229 7.592 11.718
angles: 59.50 39.75 80.75
Positions (direct):
1 Sr 0.000 0.000 0.000
2 Sr 0.250 0.250 0.250
3 Sr 0.384 0.658 0.415
4 Sr 0.658 0.384 0.543
5 Sr 0.707 0.835 0.592
6 Sr 0.835 0.707 0.866
7 La 0.126 0.493 0.966
8 La 0.284 0.835 0.124
9 La 0.493 0.126 0.415
10 La 0.835 0.284 0.757

The space group is No. 43.

---

b | Below is a relaxed structure of Sr3La2, with properties calculated at the PBE-GGA level.

abc: 6.239 6.239 7.743
angles: 90.00 90.00 120.00
Positions (direct):
1 Sr 0.000 0.000 0.000
2 Sr 0.333 0.667 0.367
3 Sr 0.667 0.333 0.633
4 La 0.333 0.667 0.901
5 La 0.667 0.333 0.099

The space group is No. 164.

---

Last place for stability: b

---

a | Below is a relaxed structure of Sr3La5, with properties calculated at the PBE-GGA level.

abc: 10.954 10.954 6.550
angles: 90.00 90.00 120.00
Positions (direct):
1 Sr 0.000 0.394 0.250
2 Sr 0.000 0.606 0.750
3 Sr 0.394 0.000 0.250
4 Sr 0.394 0.394 0.750
5 Sr 0.606 0.000 0.750
6 Sr 0.606 0.606 0.250
7 La 0.000 0.206 0.750
8 La 0.000 0.794 0.250
9 La 0.206 0.000 0.750
10 La 0.206 0.206 0.250
11 La 0.333 0.667 0.000
12 La 0.333 0.667 0.500
13 La 0.667 0.333 0.000
14 La 0.667 0.333 0.500
15 La 0.794 0.000 0.250
16 La 0.794 0.794 0.750

The space group is No. 193.

---

b | Below is a relaxed structure of Sr3La5, with properties calculated at the PBE-GGA level.

abc: 7.892 7.892 5.376
angles: 90.00 90.00 92.74
Positions (direct):
1 Sr 0.000 0.000 0.000
2 Sr 0.251 0.251 0.500
3 Sr 0.749 0.749 0.500
4 La 0.000 0.500 0.000
5 La 0.265 0.735 0.500
6 La 0.500 0.000 0.000
7 La 0.500 0.500 0.000
8 La 0.735 0.265 0.500

The space group is No. 65.

---

Last place for stability: a

---

a | Below is a relaxed structure of SrLa2Ta, with properties calculated at the PBE-GGA level.

abc: 5.612 5.612 7.069
angles: 96.71 96.71 35.41
Positions (direct):
1 Sr 0.000 0.000 0.000
2 La 0.233 0.233 0.704
3 La 0.767 0.767 0.296
4 Ta 0.500 0.500 0.500

The space group is No. 12.

---

b | Below is a relaxed structure of SrLa2Ta, with properties calculated at the PBE-GGA level.

abc: 5.572 5.572 5.572
angles: 60.00 60.00 60.00
Positions (direct):
1 Sr 0.000 0.000 0.000
2 La 0.250 0.250 0.250
3 La 0.750 0.750 0.750
4 Ta 0.500 0.500 0.500

The space group is No. 225.

---

c | Below is a relaxed structure of SrLa2Ta, with properties calculated at the PBE-GGA level.

abc: 7.253 7.253 7.253
angles: 103.39 103.39 122.47
Positions (direct):
1 Sr 0.000 0.000 0.000
2 Sr 0.750 0.250 0.500
3 La 0.205 0.625 0.080
4 La 0.375 0.455 0.580
5 La 0.545 0.125 0.920
6 La 0.875 0.795 0.420
7 Ta 0.250 0.750 0.500
8 Ta 0.500 0.500 0.000

The space group is No. 122.

---

Last place for stability: c

---

a | Below is a relaxed structure of SrLaTa2, with properties calculated at the PBE-GGA level.

abc: 3.043 3.043 10.841
angles: 90.00 90.00 90.00
Positions (direct):
1 Sr 0.000 0.000 0.000
2 La 0.000 0.000 0.500
3 Ta 0.500 0.500 0.262
4 Ta 0.500 0.500 0.738

The space group is No. 123.

---

b | Below is a relaxed structure of SrLaTa2, with properties calculated at the PBE-GGA level.

abc: 5.679 5.679 6.682
angles: 94.47 94.47 32.76
Positions (direct):
1 Sr 0.000 0.000 0.000
2 La 0.500 0.500 0.500
3 Ta 0.245 0.245 0.668
4 Ta 0.755 0.755 0.332

The space group is No. 12.

---

Last place for stability: a

---

a | Below is a relaxed structure of SrLaTa2, with properties calculated at the PBE-GGA level.

abc: 4.939 4.939 7.831
angles: 92.55 92.55 37.27
Positions (direct):
1 Sr 0.000 0.000 0.000
2 La 0.763 0.763 0.366
3 Ta 0.247 0.247 0.730
4 Ta 0.510 0.510 0.604

The space group is No. 8.

---

b | Below is a relaxed structure of SrLaTa2, with properties calculated at the PBE-GGA level.

abc: 5.262 5.262 5.262
angles: 60.00 60.00 60.00
Positions (direct):
1 Sr 0.000 0.000 0.000
2 La 0.500 0.500 0.500
3 Ta 0.250 0.250 0.250
4 Ta 0.750 0.750 0.750

The space group is No. 225.

---

Last place for stability: b